P.
VASP calculation (PBE) on crystalline AcHo3Tm7 at its relaxed geometry.

a b c (Å): 8.601 7.025 7.025
angles (deg): 120.00 90.00 90.00
Fractional positions:
Ac 0.448 0.333 0.667
Ho 0.789 0.502 0.498
Ho 0.789 0.502 0.004
Ho 0.789 0.996 0.498
Tm 0.115 0.166 0.834
Tm 0.115 0.166 0.333
Tm 0.117 0.667 0.333
Tm 0.446 0.832 0.168
Tm 0.446 0.336 0.168
Tm 0.446 0.832 0.664
Tm 0.115 0.667 0.834

Calculated volume (Å³ per cell): 367.6
Space group: No. 156

***

Q.
VASP calculation (PBE) on crystalline AcHo3Tm7 at its relaxed geometry.

a b c (Å): 8.864 9.788 5.524
angles (deg): 90.02 128.54 104.20
Fractional positions:
Ac 0.500 0.500 0.500
Ho 0.226 0.009 0.726
Ho 0.000 0.500 0.000
Ho 0.774 0.991 0.274
Tm 0.939 0.833 0.939
Tm 0.832 0.645 0.332
Tm 0.650 0.288 0.150
Tm 0.350 0.712 0.850
Tm 0.500 0.000 0.500
Tm 0.168 0.355 0.668
Tm 0.061 0.167 0.061

Calculated volume (Å³ per cell): 355.9
Space group: No. 10

***

What should be chosen as the most stable of them? Choose Q.

***

P.
VASP calculation (PBE) on crystalline AcHo8Tm6 at its relaxed geometry.

a b c (Å): 8.951 8.951 8.615
angles (deg): 58.70 58.70 60.00
Fractional positions:
Ac 0.000 0.000 0.000
Ho 0.256 0.283 0.573
Ho 0.717 0.111 0.427
Ho 0.111 0.744 0.427
Ho 0.577 0.577 0.269
Ho 0.423 0.423 0.731
Ho 0.889 0.256 0.573
Ho 0.283 0.889 0.573
Ho 0.744 0.717 0.427
Tm 0.468 0.899 0.877
Tm 0.101 0.244 0.123
Tm 0.244 0.532 0.123
Tm 0.756 0.468 0.877
Tm 0.899 0.756 0.877
Tm 0.532 0.101 0.123

Calculated volume (Å³ per cell): 478.3
Space group: No. 148

***

Q.
VASP calculation (PBE) on crystalline AcHo8Tm6 at its relaxed geometry.

a b c (Å): 6.376 9.454 9.454
angles (deg): 120.00 90.00 90.00
Fractional positions:
Ac 0.500 0.000 0.000
Ho 0.912 0.974 0.315
Ho 0.912 0.685 0.659
Ho 0.912 0.341 0.026
Ho 0.088 0.026 0.685
Ho 0.088 0.315 0.341
Ho 0.088 0.659 0.974
Ho 0.838 0.333 0.667
Ho 0.162 0.667 0.333
Tm 0.588 0.680 0.107
Tm 0.588 0.893 0.574
Tm 0.588 0.426 0.320
Tm 0.412 0.320 0.893
Tm 0.412 0.107 0.426
Tm 0.412 0.574 0.680

Calculated volume (Å³ per cell): 493.6
Space group: No. 147

***

What should be chosen as the most stable of them? Choose P.

***

P.
VASP calculation (PBE) on crystalline AcHo6Tm at its relaxed geometry.

a b c (Å): 5.060 5.060 10.118
angles (deg): 90.00 90.00 90.00
Fractional positions:
Ac 0.000 0.000 0.000
Ho 0.500 0.500 0.000
Ho 0.500 0.500 0.500
Ho 0.500 0.000 0.260
Ho 0.500 0.000 0.740
Ho 0.000 0.500 0.260
Ho 0.000 0.500 0.740
Tm 0.000 0.000 0.500

Calculated volume (Å³ per cell): 259.1
Space group: No. 123

***

Q.
VASP calculation (PBE) on crystalline AcHo6Tm at its relaxed geometry.

a b c (Å): 6.755 6.700 6.793
angles (deg): 82.72 60.39 83.71
Fractional positions:
Ac 0.000 0.000 0.000
Ho 0.049 0.739 0.522
Ho 0.549 0.721 0.544
Ho 0.451 0.279 0.456
Ho 0.951 0.261 0.478
Ho 0.523 0.737 0.042
Ho 0.477 0.263 0.958
Tm 0.000 0.500 0.000

Calculated volume (Å³ per cell): 264.7
Space group: No. 2

***

What should be chosen as the most stable of them? Choose P.

***

P.
VASP calculation (PBE) on crystalline AcHo7Tm2 at its relaxed geometry.

a b c (Å): 5.425 8.916 9.488
angles (deg): 117.99 106.60 52.48
Fractional positions:
Ac 0.000 0.000 0.000
Ho 0.001 0.796 0.593
Ho 0.999 0.204 0.407
Ho 0.755 0.632 0.775
Ho 0.245 0.368 0.225
Ho 0.755 0.858 0.225
Ho 0.245 0.142 0.775
Ho 0.500 0.500 0.000
Tm 0.500 0.700 0.399
Tm 0.500 0.300 0.601

Calculated volume (Å³ per cell): 321.5
Space group: No. 71

***

Q.
VASP calculation (PBE) on crystalline AcHo7Tm2 at its relaxed geometry.

a b c (Å): 5.729 9.025 9.025
angles (deg): 121.80 90.00 90.00
Fractional positions:
Ac 0.000 0.000 0.000
Ho 0.000 0.770 0.230
Ho 0.000 0.230 0.770
Ho 0.500 0.057 0.299
Ho 0.500 0.943 0.701
Ho 0.500 0.299 0.057
Ho 0.500 0.701 0.943
Ho 0.500 0.500 0.500
Tm 0.500 0.703 0.297
Tm 0.500 0.297 0.703

Calculated volume (Å³ per cell): 396.6
Space group: No. 65

***

What should be chosen as the most stable of them? Choose P.

***

P.
VASP calculation (PBE) on crystalline AcHo6Tm2 at its relaxed geometry.

a b c (Å): 6.825 6.825 9.279
angles (deg): 68.42 68.42 60.00
Fractional positions:
Ac 0.334 0.334 0.997
Ho 0.775 0.288 0.650
Ho 0.287 0.775 0.650
Ho 0.288 0.287 0.650
Ho 0.050 0.555 0.346
Ho 0.049 0.050 0.346
Ho 0.555 0.049 0.346
Tm 0.755 0.755 0.735
Tm 0.573 0.573 0.281

Calculated volume (Å³ per cell): 338.9
Space group: No. 160

***

Q.
VASP calculation (PBE) on crystalline AcHo6Tm2 at its relaxed geometry.

a b c (Å): 3.603 3.603 26.184
angles (deg): 90.00 90.00 120.00
Site moments in Bohr magnetons follow the coordinates.
Fractional positions:
Ac 0.333 0.667 0.000  -0.01
Ho 0.667 0.333 0.881  0.07
Ho 0.333 0.667 0.436  0.27
Ho 0.333 0.667 0.775  0.08
Ho 0.333 0.667 0.225  0.08
Ho 0.333 0.667 0.564  0.27
Ho 0.667 0.333 0.119  0.07
Tm 0.667 0.333 0.331  0.18
Tm 0.667 0.333 0.669  0.18

Calculated volume (Å³ per cell): 294.3
Space group: No. 187

***

What should be chosen as the most stable of them? Choose Q.

***

P.
VASP calculation (PBE) on crystalline AcHoTm2 at its relaxed geometry.

a b c (Å): 3.671 3.671 11.734
angles (deg): 81.00 81.00 60.00
Fractional positions:
Ac 0.666 0.666 0.001
Ho 0.500 0.500 0.499
Tm 0.087 0.087 0.739
Tm 0.246 0.246 0.261

Calculated volume (Å³ per cell): 134.7
Space group: No. 160

***

Q.
VASP calculation (PBE) on crystalline AcHoTm2 at its relaxed geometry.

a b c (Å): 5.772 5.772 5.772
angles (deg): 60.00 60.00 60.00
Fractional positions:
Ac 0.500 0.500 0.500
Tm 0.250 0.250 0.250
Tm 0.750 0.750 0.750
Ho 0.000 0.000 0.000

Calculated volume (Å³ per cell): 135.9
Space group: No. 225

***

What should be chosen as the most stable of them? Choose P.

***

P.
VASP calculation (PBE) on crystalline AcHo7Tm12 at its relaxed geometry.

a b c (Å): 8.648 8.648 8.648
angles (deg): 87.29 87.29 87.29
Fractional positions:
Ac 0.000 0.000 0.000
Ho 0.843 0.606 0.939
Ho 0.394 0.061 0.157
Ho 0.061 0.157 0.394
Ho 0.500 0.500 0.500
Ho 0.939 0.843 0.606
Ho 0.606 0.939 0.843
Ho 0.157 0.394 0.061
Tm 0.851 0.277 0.725
Tm 0.723 0.275 0.149
Tm 0.622 0.134 0.497
Tm 0.866 0.503 0.378
Tm 0.275 0.149 0.723
Tm 0.503 0.378 0.866
Tm 0.497 0.622 0.134
Tm 0.725 0.851 0.277
Tm 0.134 0.497 0.622
Tm 0.378 0.866 0.503
Tm 0.277 0.725 0.851
Tm 0.149 0.723 0.275

Calculated volume (Å³ per cell): 644.6
Space group: No. 148

***

Q.
VASP calculation (PBE) on crystalline AcHo7Tm12 at its relaxed geometry.

a b c (Å): 9.722 9.722 9.722
angles (deg): 109.47 109.47 109.47
Fractional positions:
Ac 0.000 0.000 0.000
Ho 0.500 0.500 0.000
Ho 0.000 0.500 0.500
Ho 0.500 0.000 0.500
Ho 0.500 0.500 0.500
Ho 0.000 0.000 0.500
Ho 0.500 0.000 0.000
Ho 0.000 0.500 0.000
Tm 0.470 0.735 0.735
Tm 0.000 0.735 0.265
Tm 0.530 0.265 0.265
Tm 0.000 0.265 0.735
Tm 0.735 0.000 0.265
Tm 0.735 0.470 0.735
Tm 0.265 0.000 0.735
Tm 0.265 0.530 0.265
Tm 0.735 0.735 0.470
Tm 0.265 0.265 0.530
Tm 0.735 0.265 0.000
Tm 0.265 0.735 0.000

Calculated volume (Å³ per cell): 707.3
Space group: No. 229

***

What should be chosen as the most stable of them? Choose P.

***

P.
VASP calculation (PBE) on crystalline AcHo7Tm3 at its relaxed geometry.

a b c (Å): 8.898 9.781 5.558
angles (deg): 90.01 128.63 104.07
Fractional positions:
Ac 0.500 0.500 0.500
Ho 0.937 0.834 0.937
Ho 0.834 0.645 0.334
Ho 0.648 0.288 0.148
Ho 0.352 0.712 0.852
Ho 0.500 0.000 0.500
Ho 0.166 0.355 0.666
Ho 0.063 0.166 0.063
Tm 0.227 0.008 0.727
Tm 0.000 0.500 0.000
Tm 0.773 0.992 0.273

Calculated volume (Å³ per cell): 359.1
Space group: No. 10

***

Q.
VASP calculation (PBE) on crystalline AcHo7Tm3 at its relaxed geometry.

a b c (Å): 8.601 7.063 7.063
angles (deg): 120.00 90.00 90.00
Fractional positions:
Ac 0.448 0.333 0.667
Ho 0.113 0.167 0.833
Ho 0.113 0.167 0.334
Ho 0.117 0.667 0.333
Ho 0.449 0.832 0.168
Ho 0.449 0.336 0.168
Ho 0.449 0.832 0.664
Ho 0.113 0.666 0.833
Tm 0.788 0.502 0.498
Tm 0.788 0.502 0.005
Tm 0.788 0.995 0.498

Calculated volume (Å³ per cell): 371.6
Space group: No. 156

***

What should be chosen as the most stable of them? Choose P.

***

P.
VASP calculation (PBE) on crystalline Ac2YHo at its relaxed geometry.

a b c (Å): 3.801 3.801 12.273
angles (deg): 81.09 81.09 60.00
Fractional positions:
Ac 0.083 0.083 0.751
Ac 0.250 0.250 0.249
Y 0.499 0.499 0.503
Ho 0.668 0.668 0.997

Calculated volume (Å³ per cell): 151.1
Space group: No. 160

***

Q.
VASP calculation (PBE) on crystalline Ac2YHo at its relaxed geometry.

a b c (Å): 12.762 12.762 13.471
angles (deg): 90.02 90.02 145.94
Fractional positions:
Ac 0.749 0.250 0.001
Ac 0.750 0.251 0.499
Ac 0.251 0.750 0.999
Ac 0.250 0.749 0.501
Ac 0.978 0.523 0.251
Ac 0.477 0.022 0.249
Ac 0.022 0.477 0.749
Ac 0.523 0.978 0.751
Ac 0.251 0.251 0.500
Ac 0.749 0.749 0.000
Ac 0.749 0.749 0.500
Ac 0.251 0.251 0.000
Ac 0.976 0.024 0.250
Ac 0.024 0.976 0.750
Ac 0.478 0.522 0.250
Ac 0.522 0.478 0.750
Y 0.886 0.115 0.613
Y 0.885 0.114 0.887
Y 0.114 0.885 0.387
Y 0.115 0.886 0.113
Y 0.387 0.116 0.615
Y 0.884 0.613 0.885
Y 0.613 0.884 0.385
Y 0.116 0.387 0.115
Ho 0.386 0.115 0.887
Ho 0.885 0.614 0.613
Ho 0.614 0.885 0.113
Ho 0.115 0.386 0.387
Ho 0.385 0.614 0.614
Ho 0.386 0.615 0.886
Ho 0.615 0.386 0.386
Ho 0.614 0.385 0.114

Calculated volume (Å³ per cell): 1228.8
Space group: No. 15

***

R.
VASP calculation (PBE) on crystalline Ac2YHo at its relaxed geometry.

a b c (Å): 5.993 5.993 5.993
angles (deg): 60.00 60.00 60.00
Fractional positions:
Y 0.500 0.500 0.500
Ac 0.250 0.250 0.250
Ac 0.750 0.750 0.750
Ho 0.000 0.000 0.000

Calculated volume (Å³ per cell): 152.2
Space group: No. 225

***

S.
VASP calculation (PBE) on crystalline Ac2YHo at its relaxed geometry.

a b c (Å): 5.018 5.482 5.482
angles (deg): 90.00 90.00 90.00
Fractional positions:
Y 0.500 0.500 0.500
Ac 0.000 0.000 0.500
Ac 0.000 0.500 0.000
Ho 0.500 0.000 0.000

Calculated volume (Å³ per cell): 150.8
Space group: No. 123

***

What should be chosen as the most stable of them? Choose S.

***

P.
VASP calculation (PBE) on crystalline Ac2YHo at its relaxed geometry.

a b c (Å): 3.903 3.903 9.905
angles (deg): 90.00 90.00 90.00
Fractional positions:
Y 0.500 0.500 0.500
Ac 0.000 0.000 0.752
Ac 0.000 0.000 0.248
Ho 0.500 0.500 0.000

Calculated volume (Å³ per cell): 150.8
Space group: No. 123

***

Q.
VASP calculation (PBE) on crystalline Ac2YHo at its relaxed geometry.

a b c (Å): 3.705 3.705 13.217
angles (deg): 81.94 81.94 60.00
Fractional positions:
Y 0.500 0.500 0.500
Ac 0.088 0.088 0.736
Ac 0.912 0.912 0.264
Ho 0.000 0.000 0.000

Calculated volume (Å³ per cell): 155.1
Space group: No. 166

***

What should be chosen as the most stable of them? Choose P.